Crystalline La3Co at its relaxed geometry, computed with PBE-GGA.

Cell: 5.448 5.448 5.448 Å, 90.00 90.00 90.00°
Space group Pm-3m (No. 221)
One atom of each set of equivalent atoms:
La  0.000  0.000  0.500 x3
Co  0.000  0.000  0.000 x1

Output
- crystal system = cubic


Crystalline La3Co at its relaxed geometry, computed with PBE-GGA.

Cell: 10.2181 10.2181 3.7141 Å, 90.00 90.00 120.00°
Space group R-3m (No. 166, hexagonal axes)
One atom of each set of equivalent atoms:
La  0.0000  0.5000  0.0000 x9
Co  0.0000  0.0000  0.0000 x3

Output
- crystal system = trigonal


Short version: energy of formation from the pure elements = 0.23, 0.38 eV per atom, in the order given.
Short version: total magnetization = 0.0002, 0.1779 μB/atom, in the order given.